No. 1
# SbP2Pb (GGA-PBE, optimized geometry)
data_SbP2Pb
_chemical_formula_sum 'Sb2 P4 Pb2'
_cell_length_a 6.062
_cell_length_b 6.076
_cell_length_c 6.207
_cell_angle_alpha 75.94
_cell_angle_beta 77.06
_cell_angle_gamma 83.14
_symmetry_space_group_name_H-M 'P 1'
_symmetry_Int_Tables_number 1
_symmetry_space_group_name_Hall 'P 1'
loop_
_atom_site_label
_atom_site_type_symbol
_atom_site_fract_x
_atom_site_fract_y
_atom_site_fract_z
Sb1 Sb 0.000 0.000 0.000
Sb2 Sb 0.401 0.754 0.352
P1 P 0.556 0.387 0.616
P2 P 0.918 0.400 0.440
P3 P 0.945 0.412 0.073
P4 P 0.968 0.766 0.418
Pb1 Pb 0.481 0.329 0.103
Pb2 Pb 0.550 0.905 0.760
# E_form (uncorrected)	0.449	eV/f.u.
# E	-4.5503	eV/atom
# offset from the most stable computed form	0.19	eV/f.u.
# magnetization	0.00	μB/atom
# V	215.6	Å³/cell

No. 2
# Sb2PPb (GGA-PBE, optimized geometry)
data_Sb2PPb
_chemical_formula_sum 'Sb2 P1 Pb1'
_cell_length_a 3.515
_cell_length_b 3.515
_cell_length_c 8.219
_cell_angle_alpha 90.00
_cell_angle_beta 90.00
_cell_angle_gamma 90.00
_symmetry_space_group_name_H-M 'P 4/m m m'
_symmetry_Int_Tables_number 123
_symmetry_space_group_name_Hall '-P 4 2'
loop_
_atom_site_label
_atom_site_type_symbol
_atom_site_fract_x
_atom_site_fract_y
_atom_site_fract_z
Sb1 Sb 0.000 0.000 0.194
P1 P 0.500 0.500 0.000
Pb1 Pb 0.500 0.500 0.500
# E_form (uncorrected)	1.197	eV/f.u.
# E	-4.0415	eV/atom
# offset from the most stable computed form	0.87	eV/f.u.
# magnetization	0.00	μB/atom
# V	101.5	Å³/cell

No. 3
# SbP4Pb (GGA-PBE, optimized geometry)
data_SbP4Pb
_chemical_formula_sum 'Sb4 P16 Pb4'
_cell_length_a 8.289
_cell_length_b 8.289
_cell_length_c 8.289
_cell_angle_alpha 90.00
_cell_angle_beta 90.00
_cell_angle_gamma 90.00
_symmetry_space_group_name_H-M 'F -4 3 m'
_symmetry_Int_Tables_number 216
_symmetry_space_group_name_Hall 'F -4 2 3'
loop_
_atom_site_label
_atom_site_type_symbol
_atom_site_fract_x
_atom_site_fract_y
_atom_site_fract_z
Sb1 Sb 0.000 0.000 0.000
P1 P 0.154 0.154 0.654
Pb1 Pb 0.250 0.250 0.250
# E_form (uncorrected)	2.631	eV/f.u.
# E	-4.4733	eV/atom
# magnetization	0.00	μB/atom
# V	569.4	Å³/cell

No. 4
# Sb2PPb2 (GGA-PBE, optimized geometry)
data_Sb2PPb2
_chemical_formula_sum 'Sb4 P2 Pb4'
_cell_length_a 7.254
_cell_length_b 7.254
_cell_length_c 5.450
_cell_angle_alpha 90.00
_cell_angle_beta 90.00
_cell_angle_gamma 90.00
_symmetry_space_group_name_H-M 'P 4/m b m'
_symmetry_Int_Tables_number 127
_symmetry_space_group_name_Hall '-P 4 2ab'
loop_
_atom_site_label
_atom_site_type_symbol
_atom_site_fract_x
_atom_site_fract_y
_atom_site_fract_z
Sb1 Sb 0.146 0.354 0.000
P1 P 0.000 0.000 0.000
Pb1 Pb 0.189 0.689 0.500
# E_form (uncorrected)	1.444	eV/f.u.
# E	-3.9254	eV/atom
# offset from the most stable computed form	0.00	eV/f.u.
# magnetization	0.00	μB/atom
# V	286.8	Å³/cell

No. 5
# SbP2Pb (GGA-PBE, optimized geometry)
data_SbP2Pb
_chemical_formula_sum 'Sb2 P4 Pb2'
_cell_length_a 6.999
_cell_length_b 4.034
_cell_length_c 7.014
_cell_angle_alpha 90.00
_cell_angle_beta 108.77
_cell_angle_gamma 90.00
_symmetry_space_group_name_H-M 'C 1 2/m 1'
_symmetry_Int_Tables_number 12
_symmetry_space_group_name_Hall '-C 2y'
loop_
_atom_site_label
_atom_site_type_symbol
_atom_site_fract_x
_atom_site_fract_y
_atom_site_fract_z
Sb1 Sb 0.000 0.000 0.000
P1 P 0.243 0.500 0.230
Pb1 Pb 0.000 0.500 0.500
# E_form (uncorrected)	0.572	eV/f.u.
# E	-4.5197	eV/atom
# offset from the most stable computed form	0.31	eV/f.u.
# magnetization	0.00	μB/atom
# V	187.5	Å³/cell

No. 6
# SbP2Pb (GGA-PBE, optimized geometry)
data_SbP2Pb
_chemical_formula_sum 'Sb1 P2 Pb1'
_cell_length_a 3.571
_cell_length_b 4.855
_cell_length_c 5.058
_cell_angle_alpha 90.00
_cell_angle_beta 90.00
_cell_angle_gamma 90.00
_symmetry_space_group_name_H-M 'P m m m'
_symmetry_Int_Tables_number 47
_symmetry_space_group_name_Hall '-P 2 2'
loop_
_atom_site_label
_atom_site_type_symbol
_atom_site_fract_x
_atom_site_fract_y
_atom_site_fract_z
Sb1 Sb 0.000 0.000 0.000
P1 P 0.500 0.000 0.500
P2 P 0.500 0.500 0.000
Pb1 Pb 0.000 0.500 0.500
# E_form (uncorrected)	1.903	eV/f.u.
# E	-4.1868	eV/atom
# offset from the most stable computed form	1.64	eV/f.u.
# magnetization	0.00	μB/atom
# V	87.7	Å³/cell

No. 7
# SbP2Pb (GGA-PBE, optimized geometry)
data_SbP2Pb
_chemical_formula_sum 'Sb1 P2 Pb1'
_cell_length_a 5.062
_cell_length_b 4.007
_cell_length_c 5.228
_cell_angle_alpha 90.00
_cell_angle_beta 102.65
_cell_angle_gamma 90.00
_symmetry_space_group_name_H-M 'P 1 2/m 1'
_symmetry_Int_Tables_number 10
_symmetry_space_group_name_Hall '-P 2y'
loop_
_atom_site_label
_atom_site_type_symbol
_atom_site_fract_x
_atom_site_fract_y
_atom_site_fract_z
Sb1 Sb 0.000 0.000 0.000
P1 P 0.318 0.500 0.844
Pb1 Pb 0.500 0.000 0.500
# E_form (uncorrected)	0.438	eV/f.u.
# E	-4.5530	eV/atom
# offset from the most stable computed form	0.18	eV/f.u.
# magnetization	0.00	μB/atom
# V	103.5	Å³/cell

No. 8
# Sb2PPb (GGA-PBE, optimized geometry)
data_Sb2PPb
_chemical_formula_sum 'Sb4 P2 Pb2'
_cell_length_a 3.600
_cell_length_b 4.784
_cell_length_c 12.451
_cell_angle_alpha 90.00
_cell_angle_beta 90.00
_cell_angle_gamma 90.00
_symmetry_space_group_name_H-M 'I m m 2'
_symmetry_Int_Tables_number 44
_symmetry_space_group_name_Hall 'I 2 -2'
loop_
_atom_site_label
_atom_site_type_symbol
_atom_site_fract_x
_atom_site_fract_y
_atom_site_fract_z
Sb1 Sb 0.000 0.000 0.000
Sb2 Sb 0.000 0.500 0.179
P1 P 0.000 0.000 0.512
Pb1 Pb 0.000 0.500 0.809
# E_form (uncorrected)	0.965	eV/f.u.
# E	-4.0995	eV/atom
# offset from the most stable computed form	0.64	eV/f.u.
# magnetization	0.00	μB/atom
# V	214.4	Å³/cell

No. 9
# SbPPb3 (GGA-PBE, optimized geometry)
data_SbPPb3
_chemical_formula_sum 'Sb1 P1 Pb3'
_cell_length_a 5.472
_cell_length_b 5.472
_cell_length_c 5.472
_cell_angle_alpha 90.00
_cell_angle_beta 90.00
_cell_angle_gamma 90.00
_symmetry_space_group_name_H-M 'P m -3 m'
_symmetry_Int_Tables_number 221
_symmetry_space_group_name_Hall '-P 4 2 3'
loop_
_atom_site_label
_atom_site_type_symbol
_atom_site_fract_x
_atom_site_fract_y
_atom_site_fract_z
Sb1 Sb 0.000 0.000 0.000
P1 P 0.500 0.500 0.500
Pb1 Pb 0.000 0.500 0.500
# E_form (uncorrected)	1.683	eV/f.u.
# E	-3.7948	eV/atom
# offset from the most stable computed form	1.32	eV/f.u.
# magnetization	0.00	μB/atom
# V	163.9	Å³/cell

No. 10
# Sb2PPb (GGA-PBE, optimized geometry)
data_Sb2PPb
_chemical_formula_sum 'Sb4 P2 Pb2'
_cell_length_a 6.046
_cell_length_b 8.616
_cell_length_c 4.194
_cell_angle_alpha 90.00
_cell_angle_beta 90.00
_cell_angle_gamma 90.00
_symmetry_space_group_name_H-M 'C m m m'
_symmetry_Int_Tables_number 65
_symmetry_space_group_name_Hall '-C 2 2'
loop_
_atom_site_label
_atom_site_type_symbol
_atom_site_fract_x
_atom_site_fract_y
_atom_site_fract_z
Sb1 Sb 0.000 0.216 0.000
P1 P 0.000 0.000 0.500
Pb1 Pb 0.000 0.500 0.500
# E_form (uncorrected)	0.552	eV/f.u.
# E	-4.2028	eV/atom
# offset from the most stable computed form	0.23	eV/f.u.
# magnetization	0.00	μB/atom
# V	218.4	Å³/cell

No. 11
# SbP2Pb (GGA-PBE, optimized geometry)
data_SbP2Pb
_chemical_formula_sum 'Sb4 P8 Pb4'
_cell_length_a 7.106
_cell_length_b 7.106
_cell_length_c 7.106
_cell_angle_alpha 90.00
_cell_angle_beta 90.00
_cell_angle_gamma 90.00
_symmetry_space_group_name_H-M 'F -4 3 m'
_symmetry_Int_Tables_number 216
_symmetry_space_group_name_Hall 'F -4 2 3'
loop_
_atom_site_label
_atom_site_type_symbol
_atom_site_fract_x
_atom_site_fract_y
_atom_site_fract_z
Sb1 Sb 0.000 0.000 0.000
P1 P 0.000 0.000 0.500
P2 P 0.250 0.250 0.250
Pb1 Pb 0.250 0.250 0.750
# E_form (uncorrected)	2.752	eV/f.u.
# E	-3.9747	eV/atom
# offset from the most stable computed form	2.49	eV/f.u.
# magnetization	0.00	μB/atom
# V	358.8	Å³/cell

No. 12
# Sb2PPb (GGA-PBE, optimized geometry)
data_Sb2PPb
_chemical_formula_sum 'Sb6 P3 Pb3'
_cell_length_a 4.1963
_cell_length_b 4.1963
_cell_length_c 21.7363
_cell_angle_alpha 90.00
_cell_angle_beta 90.00
_cell_angle_gamma 120.00
_symmetry_space_group_name_H-M 'R 3 m'
_symmetry_Int_Tables_number 160
_symmetry_space_group_name_Hall 'R 3 -2"'
loop_
_atom_site_label
_atom_site_type_symbol
_atom_site_fract_x
_atom_site_fract_y
_atom_site_fract_z
Sb1 Sb 0.0000 0.0000 0.0000
Sb2 Sb 0.0000 0.0000 0.2550
P1 P 0.0000 0.0000 0.5076
Pb1 Pb 0.0000 0.0000 0.7744
# E_form (uncorrected)	0.482	eV/f.u.
# E	-4.2202	eV/atom
# offset from the most stable computed form	0.16	eV/f.u.
# magnetization	0.00	μB/atom
# V	331.5	Å³/cell